(1)
An optimized crystal structure of PrDy6Tm6, computed with GGA-PBE.

a b c (Å): 6.606 6.606 11.348
angles (deg): 90.00 90.00 120.00
Fractional coordinates of all 13 atoms:
Pr1 0.000 0.000 0.000
Dy1 0.000 0.000 0.651
Dy2 0.000 0.000 0.349
Dy3 0.333 0.667 0.000
Dy4 0.667 0.333 0.000
Dy5 0.333 0.667 0.500
Dy6 0.667 0.333 0.500
Tm1 0.000 0.500 0.755
Tm2 0.500 0.000 0.755
Tm3 0.500 0.500 0.755
Tm4 0.500 0.000 0.245
Tm5 0.000 0.500 0.245
Tm6 0.500 0.500 0.245

Output
For the formation energy, the calculation gives 0.269 eV per atom. Its density of states at the Fermi level is 25.6 states/eV per cell. Its space group is P6/mmm.


(2)
An optimized crystal structure of Pr2Dy6Tm, computed with GGA-PBE.

a b c (Å): 6.186 11.873 11.873
angles (deg): 96.79 60.55 60.55
Fractional coordinates of all 18 atoms:
Pr1 0.018 0.659 0.837
Pr2 0.482 0.163 0.341
Pr3 0.982 0.341 0.163
Pr4 0.518 0.837 0.659
Dy1 0.338 0.673 0.494
Dy2 0.162 0.506 0.327
Dy3 0.662 0.327 0.506
Dy4 0.838 0.494 0.673
Dy5 0.928 0.921 0.408
Dy6 0.572 0.592 0.079
Dy7 0.072 0.079 0.592
Dy8 0.428 0.408 0.921
Dy9 0.175 0.837 0.994
Dy10 0.325 0.006 0.163
Dy11 0.825 0.163 0.006
Dy12 0.675 0.994 0.837
Tm1 0.250 0.241 0.759
Tm2 0.750 0.759 0.241

Output
For the formation energy, the calculation gives 0.112 eV per atom. Its density of states at the Fermi level is 28.5 states/eV per cell. Its space group is C2/c.